1.
A relaxed LiRe2As crystal. Source: Alexandria, functional PBE.

Geometry as extended XYZ:
```
4
Lattice="-5.020 -0.436 0.533 -1.784 -2.056 4.275 3.314 3.605 -1.306" Properties=species:S:1:pos:R:3 pbc="T T T"
Li -2.554 0.961 0.815
Re -3.402 -1.246 2.404
Re 0.000 0.000 0.000
As -0.936 0.151 2.686
```

**SG**: I4/mmm, No. 139
**Spin magnetization**: 0.000 μB/f.u.
**E_tot**: -29.67 eV per formula unit
**ΔE_f**: 1.79 eV/f.u.



2.
A relaxed Li2ReAs crystal. Source: Alexandria, functional PBE.

Geometry as extended XYZ:
```
4
Lattice="-0.786 2.405 -1.669 -2.923 -2.259 -1.878 -2.982 1.224 3.169" Properties=species:S:1:pos:R:3 pbc="T T T"
Li 0.000 0.000 0.000
Li -1.855 0.073 -1.773
Re -1.884 1.814 0.750
As -2.953 -0.517 0.646
```

**SG**: Pmmm, No. 47
**Spin magnetization**: 0.000 μB/f.u.
**E_tot**: -20.56 eV per formula unit
**ΔE_f**: 0.37 eV/f.u.



3.
A relaxed Li2ReAs crystal. Source: Alexandria, functional PBE.

Geometry as extended XYZ:
```
4
Lattice="-1.680 -0.909 4.741 1.687 -3.806 -2.965 2.423 0.353 0.926" Properties=species:S:1:pos:R:3 pbc="T T T"
Li 0.000 0.000 0.000
Li 0.004 -2.358 0.888
As 2.055 -1.727 -1.019
Re 0.372 -0.278 2.834
```

**SG**: Cmmm, No. 65
**Spin magnetization**: 0.000 μB/f.u.
**E_tot**: -20.64 eV per formula unit
**ΔE_f**: 0.29 eV/f.u.



4.
A relaxed LiRe2As crystal. Source: Alexandria, functional PBE.

Geometry as extended XYZ:
```
4
Lattice="3.182 0.000 0.000 0.000 3.182 0.000 0.000 0.000 5.475" Properties=species:S:1:pos:R:3 pbc="T T T"
As 1.591 1.591 1.369
Li 1.591 1.591 4.106
Re 0.000 0.000 2.861
Re 0.000 0.000 5.351
```

**SG**: P4/mmm, No. 123
**Spin magnetization**: 0.000 μB/f.u.
**E_tot**: -29.37 eV per formula unit
**ΔE_f**: 2.09 eV/f.u.



5.
A relaxed Li2ReAs crystal. Source: Alexandria, functional PBE.

Geometry as extended XYZ:
```
4
Lattice="9.169 -0.017 -0.010 8.753 2.731 -0.010 8.753 1.326 2.388" Properties=species:S:1:pos:R:3 pbc="T T T"
As 20.006 3.030 1.776
Li 0.069 0.010 0.006
Li 13.269 2.009 1.178
Re 6.669 1.010 0.592
```

**SG**: R-3m, No. 166
**Spin magnetization**: 0.808 μB/f.u.
**E_tot**: -20.32 eV per formula unit
**ΔE_f**: 0.61 eV/f.u.



6.
A relaxed LiRe2As crystal. Source: Alexandria, functional PBE.

Geometry as extended XYZ:
```
4
Lattice="-1.776 -0.344 -4.277 -1.799 -2.917 -3.133 -4.491 0.582 1.220" Properties=species:S:1:pos:R:3 pbc="T T T"
Re -3.990 -1.331 -3.076
Re -0.043 -0.008 -0.019
As -6.050 -2.009 -4.642
Li -2.017 -0.670 -1.547
```

**SG**: C2/m, No. 12
**Spin magnetization**: 0.000 μB/f.u.
**E_tot**: -30.21 eV per formula unit
**ΔE_f**: 1.25 eV/f.u.



7.
A relaxed Li2ReAs crystal. Source: Alexandria, functional PBE.

Geometry as extended XYZ:
```
4
Lattice="4.236 0.000 0.000 2.118 3.668 0.000 2.118 1.223 3.458" Properties=species:S:1:pos:R:3 pbc="T T T"
Li 2.118 1.223 0.865
Li 0.000 0.000 0.000
As 4.236 2.445 1.729
Re 6.353 3.668 2.594
```

**SG**: F-43m, No. 216
**Spin magnetization**: 0.000 μB/f.u.
**E_tot**: -20.52 eV per formula unit
**ΔE_f**: 0.40 eV/f.u.



8.
A relaxed Li2ReAsS crystal. Source: Alexandria, functional PBE.

Geometry as extended XYZ:
```
5
Lattice="4.534 0.000 0.000 0.000 4.686 0.000 0.000 0.000 4.534" Properties=species:S:1:pos:R:3 pbc="T T T"
As 0.000 0.000 0.000
Li 2.267 0.000 0.000
Li 0.000 0.000 2.267
Re 0.000 2.343 0.000
S 2.267 2.343 2.267
```

**Formation energy without anion corrections**: 43 kJ per mole of atoms
**SG**: P4/mmm, No. 123
**Spin magnetization**: 1.648 μB/f.u.
**E_tot**: -22.80 eV per formula unit